## P
A plane-wave DFT calculation with GGA-PBE was carried out for crystalline CsAg3Pt at its relaxed geometry. Values from VASP.

The structure in Quantum ESPRESSO input format:
```
&SYSTEM
  ibrav = 0, nat = 5, ntyp = 3
/
ATOMIC_SPECIES
Pt 195.08 Pt.upf
Ag 107.87 Ag.upf
Cs 132.91 Cs.upf
CELL_PARAMETERS angstrom
-5.575 -0.704 1.027
0.442 -5.524 -1.386
1.164 -1.274 5.446
ATOMIC_POSITIONS angstrom
Pt -1.985 -3.751 2.543
Ag -2.788 -0.352 0.514
Ag 0.221 -2.762 -0.693
Ag 0.582 -0.637 2.723
Cs 0.000 0.000 0.000
```

=====

## Q
A plane-wave DFT calculation with GGA-PBE was carried out for crystalline CsAg3Pt at its relaxed geometry. Values from VASP.

The structure in Quantum ESPRESSO input format:
```
&SYSTEM
  ibrav = 0, nat = 5, ntyp = 3
/
ATOMIC_SPECIES
Pt 195.08 Pt.upf
Ag 107.87 Ag.upf
Cs 132.91 Cs.upf
CELL_PARAMETERS angstrom
-3.087 -4.132 -1.257
4.168 -2.443 -2.201
1.135 -2.267 4.665
ATOMIC_POSITIONS angstrom
Pt 0.000 0.000 0.000
Ag 2.084 -1.222 -1.101
Ag 0.567 -1.133 2.332
Ag -1.543 -2.066 -0.629
Cs 1.108 -4.421 0.603
```

=====

Most stable: Q. Least stable: P.

=====

## P
A plane-wave DFT calculation with GGA-PBE was carried out for crystalline Cs3AgPt at its relaxed geometry. Values from VASP.

The structure in Quantum ESPRESSO input format:
```
&SYSTEM
  ibrav = 0, nat = 20, ntyp = 3
/
ATOMIC_SPECIES
Cs 132.91 Cs.upf
Pt 195.08 Pt.upf
Ag 107.87 Ag.upf
CELL_PARAMETERS angstrom
6.017 0.000 0.000
0.000 11.008 -1.645
0.000 -1.409 14.549
ATOMIC_POSITIONS angstrom
Cs 3.008 3.947 1.389
Cs 6.015 8.064 -0.047
Cs 3.007 2.240 5.676
Cs 0.001 3.243 8.664
Cs 3.005 -0.137 2.063
Cs 6.014 10.441 3.566
Cs 0.002 1.536 12.951
Cs 3.011 9.736 10.841
Cs 6.016 6.357 4.240
Cs 3.010 7.359 7.227
Cs 3.009 5.652 11.514
Cs 0.003 -0.841 9.337
Pt 3.010 0.177 8.230
Pt 6.015 0.882 0.956
Pt 3.006 9.422 4.673
Pt 0.002 8.718 11.948
Ag 6.016 2.528 3.099
Ag 0.001 7.072 9.805
Ag 3.008 7.776 2.530
Ag 3.009 1.823 10.373
```

=====

## Q
A plane-wave DFT calculation with GGA-PBE was carried out for crystalline Cs3AgPt at its relaxed geometry. Values from VASP.

The structure in Quantum ESPRESSO input format:
```
&SYSTEM
  ibrav = 0, nat = 5, ntyp = 3
/
ATOMIC_SPECIES
Ag 107.87 Ag.upf
Cs 132.91 Cs.upf
Pt 195.08 Pt.upf
CELL_PARAMETERS angstrom
-0.243 4.374 4.964
-6.607 0.097 -0.409
-0.343 -4.969 4.361
ATOMIC_POSITIONS angstrom
Ag -3.597 -0.249 4.459
Cs -0.171 -2.485 2.181
Cs -0.122 2.187 2.482
Cs -3.304 0.048 -0.204
Pt 0.000 0.000 0.000
```

=====

Most stable: P. Least stable: Q.

=====

## P
A plane-wave DFT calculation with GGA-PBE was carried out for crystalline CsAgPt2 at its relaxed geometry. Values from VASP.

The structure in Quantum ESPRESSO input format:
```
&SYSTEM
  ibrav = 0, nat = 8, ntyp = 3
/
ATOMIC_SPECIES
Ag 107.87 Ag.upf
Pt 195.08 Pt.upf
Cs 132.91 Cs.upf
CELL_PARAMETERS angstrom
-4.477 -0.821 -0.612
2.902 -5.291 3.113
-1.560 3.275 7.019
ATOMIC_POSITIONS angstrom
Ag -2.220 -3.098 3.175
Ag -0.915 0.262 6.345
Pt -3.343 -0.216 7.517
Pt -0.315 -1.525 4.354
Pt 0.208 -2.621 2.003
Pt -2.820 -1.312 5.166
Cs -2.583 -0.010 1.654
Cs -0.552 -2.827 7.866
```

=====

## Q
A plane-wave DFT calculation with GGA-PBE was carried out for crystalline CsAgPt2 at its relaxed geometry. Values from VASP.

The structure in Quantum ESPRESSO input format:
```
&SYSTEM
  ibrav = 0, nat = 8, ntyp = 3
/
ATOMIC_SPECIES
Pt 195.08 Pt.upf
Cs 132.91 Cs.upf
Ag 107.87 Ag.upf
CELL_PARAMETERS angstrom
5.000 0.000 0.000
0.000 5.000 0.000
2.500 2.500 9.572
ATOMIC_POSITIONS angstrom
Pt 2.215 3.750 2.393
Pt 2.785 1.250 2.393
Pt 3.750 4.714 7.179
Pt 6.250 5.285 7.179
Cs 0.000 0.000 0.000
Cs 5.000 2.500 4.786
Ag 2.500 2.500 0.000
Ag 2.500 5.000 4.786
```

=====

Most stable: P. Least stable: Q.

=====

## P
A plane-wave DFT calculation with GGA-PBE was carried out for crystalline CsAgPt3 at its relaxed geometry. Values from VASP.

The structure in Quantum ESPRESSO input format:
```
&SYSTEM
  ibrav = 0, nat = 5, ntyp = 3
/
ATOMIC_SPECIES
Pt 195.08 Pt.upf
Ag 107.87 Ag.upf
Cs 132.91 Cs.upf
CELL_PARAMETERS angstrom
5.218 0.000 0.000
0.000 5.218 0.000
0.000 0.000 5.218
ATOMIC_POSITIONS angstrom
Pt 0.000 2.609 0.000
Pt 2.609 0.000 0.000
Pt 0.000 0.000 2.609
Ag 2.609 2.609 2.609
Cs 0.000 0.000 0.000
```

=====

## Q
A plane-wave DFT calculation with GGA-PBE was carried out for crystalline CsAgPt3 at its relaxed geometry. Values from VASP.

The structure in Quantum ESPRESSO input format:
```
&SYSTEM
  ibrav = 0, nat = 5, ntyp = 3
/
ATOMIC_SPECIES
Cs 132.91 Cs.upf
Pt 195.08 Pt.upf
Ag 107.87 Ag.upf
CELL_PARAMETERS angstrom
5.092 0.000 0.000
0.000 5.092 0.000
0.000 0.000 5.092
ATOMIC_POSITIONS angstrom
Cs 2.546 2.546 2.546
Pt 2.546 0.000 0.000
Pt 0.000 2.546 0.000
Pt 0.000 0.000 2.546
Ag 0.000 0.000 0.000
```

=====

Most stable: Q. Least stable: P.

=====

## P
A plane-wave DFT calculation with GGA-PBE was carried out for crystalline CsAg2Pt2 at its relaxed geometry. Values from VASP.

The structure in Quantum ESPRESSO input format:
```
&SYSTEM
  ibrav = 0, nat = 10, ntyp = 3
/
ATOMIC_SPECIES
Pt 195.08 Pt.upf
Cs 132.91 Cs.upf
Ag 107.87 Ag.upf
CELL_PARAMETERS angstrom
8.538 0.000 0.000
0.000 8.538 0.000
0.000 0.000 2.974
ATOMIC_POSITIONS angstrom
Pt 2.845 1.425 1.487
Pt 7.114 2.845 1.487
Pt 5.694 7.114 1.487
Pt 1.425 5.694 1.487
Cs 0.000 0.000 0.000
Cs 4.269 4.269 0.000
Ag 5.327 1.058 0.000
Ag 3.211 7.480 0.000
Ag 1.058 3.211 0.000
Ag 7.480 5.327 0.000
```

=====

## Q
A plane-wave DFT calculation with GGA-PBE was carried out for crystalline CsAg2Pt2 at its relaxed geometry. Values from VASP.

The structure in Quantum ESPRESSO input format:
```
&SYSTEM
  ibrav = 0, nat = 5, ntyp = 3
/
ATOMIC_SPECIES
Cs 132.91 Cs.upf
Ag 107.87 Ag.upf
Pt 195.08 Pt.upf
CELL_PARAMETERS angstrom
4.223 0.000 0.000
0.000 4.223 0.000
2.112 2.112 6.583
ATOMIC_POSITIONS angstrom
Cs 0.000 0.000 0.000
Ag 4.223 4.223 5.067
Ag 2.112 2.112 1.517
Pt 4.223 2.112 3.292
Pt 2.112 4.223 3.292
```

=====

## R
A plane-wave DFT calculation with GGA-PBE was carried out for crystalline CsAg2Pt2 at its relaxed geometry. Values from VASP.

The structure in Quantum ESPRESSO input format:
```
&SYSTEM
  ibrav = 0, nat = 5, ntyp = 3
/
ATOMIC_SPECIES
Ag 107.87 Ag.upf
Pt 195.08 Pt.upf
Cs 132.91 Cs.upf
CELL_PARAMETERS angstrom
4.699 0.000 0.000
0.000 4.699 0.000
2.350 2.350 5.526
ATOMIC_POSITIONS angstrom
Ag 2.350 4.699 2.763
Ag 4.699 2.350 2.763
Pt 2.350 2.350 1.285
Pt 4.699 4.699 4.241
Cs 0.000 0.000 0.000
```

=====

## S
A plane-wave DFT calculation with GGA-PBE was carried out for crystalline CsAg2Pt2 at its relaxed geometry. Values from VASP.

The structure in Quantum ESPRESSO input format:
```
&SYSTEM
  ibrav = 0, nat = 10, ntyp = 3
/
ATOMIC_SPECIES
Cs 132.91 Cs.upf
Pt 195.08 Pt.upf
Ag 107.87 Ag.upf
CELL_PARAMETERS angstrom
8.406 0.000 0.000
0.000 8.406 0.000
0.000 0.000 3.050
ATOMIC_POSITIONS angstrom
Cs 0.000 0.000 0.000
Cs 4.203 4.203 0.000
Pt 3.226 7.429 0.000
Pt 0.977 3.226 0.000
Pt 5.180 0.977 0.000
Pt 7.429 5.180 0.000
Ag 5.669 6.941 1.525
Ag 2.737 1.466 1.525
Ag 1.466 5.669 1.525
Ag 6.941 2.737 1.525
```

=====

Most stable: R. Least stable: Q.

=====

## P
A plane-wave DFT calculation with GGA-PBE was carried out for crystalline CsRb2AgPt at its relaxed geometry. Values from VASP.

The structure in Quantum ESPRESSO input format:
```
&SYSTEM
  ibrav = 0, nat = 5, ntyp = 4
/
ATOMIC_SPECIES
Rb 85.47 Rb.upf
Cs 132.91 Cs.upf
Pt 195.08 Pt.upf
Ag 107.87 Ag.upf
CELL_PARAMETERS angstrom
6.406 0.000 0.000
0.000 6.406 0.000
0.000 0.000 6.604
ATOMIC_POSITIONS angstrom
Rb 3.203 0.000 0.000
Rb 0.000 3.203 0.000
Cs 0.000 0.000 3.302
Pt 0.000 0.000 0.000
Ag 3.203 3.203 3.302
```

=====

## Q
A plane-wave DFT calculation with GGA-PBE was carried out for crystalline CsRb2AgPt at its relaxed geometry. Values from VASP.

The structure in Quantum ESPRESSO input format:
```
&SYSTEM
  ibrav = 0, nat = 5, ntyp = 4
/
ATOMIC_SPECIES
Ag 107.87 Ag.upf
Cs 132.91 Cs.upf
Rb 85.47 Rb.upf
Pt 195.08 Pt.upf
CELL_PARAMETERS angstrom
-3.635 4.594 2.473
-4.782 -1.728 -3.819
-1.803 -3.493 3.838
ATOMIC_POSITIONS angstrom
Ag -0.902 -1.746 1.919
Cs -5.110 -0.313 1.246
Rb -2.391 -0.864 -1.910
Rb -1.818 2.297 1.237
Pt 0.000 0.000 0.000
```

=====

Most stable: P. Least stable: Q.

=====

## P
A plane-wave DFT calculation with GGA-PBE was carried out for crystalline CsTl2AgPt at its relaxed geometry. Values from VASP.

The structure in Quantum ESPRESSO input format:
```
&SYSTEM
  ibrav = 0, nat = 5, ntyp = 4
/
ATOMIC_SPECIES
Ag 107.87 Ag.upf
Pt 195.08 Pt.upf
Tl 204.38 Tl.upf
Cs 132.91 Cs.upf
CELL_PARAMETERS angstrom
-2.268 -4.833 -0.225
1.257 -0.828 5.127
-4.903 2.228 1.562
ATOMIC_POSITIONS angstrom
Ag -2.451 1.114 0.781
Pt 0.000 0.000 0.000
Tl -1.134 -2.417 -0.112
Tl 0.628 -0.414 2.564
Cs -2.957 -1.717 3.232
```

=====

## Q
A plane-wave DFT calculation with GGA-PBE was carried out for crystalline CsTl2AgPt at its relaxed geometry. Values from VASP.

The structure in Quantum ESPRESSO input format:
```
&SYSTEM
  ibrav = 0, nat = 5, ntyp = 4
/
ATOMIC_SPECIES
Ag 107.87 Ag.upf
Tl 204.38 Tl.upf
Pt 195.08 Pt.upf
Cs 132.91 Cs.upf
CELL_PARAMETERS angstrom
-4.957 -0.806 1.843
-0.018 -4.884 -2.184
2.482 -2.504 5.579
ATOMIC_POSITIONS angstrom
Ag -1.247 -4.097 2.619
Tl -0.009 -2.442 -1.092
Tl -2.479 -0.403 0.922
Pt 0.000 0.000 0.000
Cs 1.241 -1.252 2.789
```

=====

Most stable: P. Least stable: Q.

=====

## P
A plane-wave DFT calculation with GGA-PBE was carried out for crystalline Cs2RbAg2 at its relaxed geometry. Values from VASP.

The structure in Quantum ESPRESSO input format:
```
&SYSTEM
  ibrav = 0, nat = 5, ntyp = 3
/
ATOMIC_SPECIES
Rb 85.47 Rb.upf
Ag 107.87 Ag.upf
Cs 132.91 Cs.upf
CELL_PARAMETERS angstrom
5.491 0.000 0.000
0.000 5.024 -1.428
0.000 0.099 9.899
ATOMIC_POSITIONS angstrom
Rb 0.000 0.000 0.000
Ag 0.000 1.137 4.001
Ag 0.000 3.986 4.470
Cs 2.746 1.807 6.354
Cs 2.746 3.316 2.116
```

=====

## Q
A plane-wave DFT calculation with GGA-PBE was carried out for crystalline Cs2RbAg2 at its relaxed geometry. Values from VASP.

The structure in Quantum ESPRESSO input format:
```
&SYSTEM
  ibrav = 0, nat = 10, ntyp = 3
/
ATOMIC_SPECIES
Cs 132.91 Cs.upf
Ag 107.87 Ag.upf
Rb 85.47 Rb.upf
CELL_PARAMETERS angstrom
-8.860 5.763 2.068
-4.626 -8.684 4.378
1.627 1.101 3.902
ATOMIC_POSITIONS angstrom
Cs -10.610 -0.500 4.564
Cs -6.223 2.493 1.891
Cs -2.876 -2.421 1.882
Cs -7.264 -5.414 4.555
Ag -8.947 -2.851 6.979
Ag -8.118 2.457 5.137
Ag -2.913 1.031 3.369
Ag -3.741 -4.277 5.211
Rb -6.743 -1.461 3.223
Rb 0.000 0.000 0.000
```

=====

## R
A plane-wave DFT calculation with GGA-PBE was carried out for crystalline Cs2RbAg2 at its relaxed geometry. Values from VASP.

The structure in Quantum ESPRESSO input format:
```
&SYSTEM
  ibrav = 0, nat = 5, ntyp = 3
/
ATOMIC_SPECIES
Cs 132.91 Cs.upf
Ag 107.87 Ag.upf
Rb 85.47 Rb.upf
CELL_PARAMETERS angstrom
-3.946 -4.302 0.654
1.385 -2.078 -5.317
4.161 -7.698 0.848
ATOMIC_POSITIONS angstrom
Cs 2.133 -6.483 -3.400
Cs -0.532 -7.595 -0.415
Ag 1.889 -10.066 -2.063
Ag -0.289 -4.012 -1.752
Rb 0.000 0.000 0.000
```

=====

## S
A plane-wave DFT calculation with GGA-PBE was carried out for crystalline Cs2RbAg2 at its relaxed geometry. Values from VASP.

The structure in Quantum ESPRESSO input format:
```
&SYSTEM
  ibrav = 0, nat = 10, ntyp = 3
/
ATOMIC_SPECIES
Cs 132.91 Cs.upf
Ag 107.87 Ag.upf
Rb 85.47 Rb.upf
CELL_PARAMETERS angstrom
-6.652 7.804 1.598
-6.223 -6.391 5.304
2.351 1.154 4.148
ATOMIC_POSITIONS angstrom
Cs -3.775 -2.417 5.713
Cs -2.089 2.451 3.403
Cs -6.749 4.983 5.339
Cs -8.435 0.116 7.648
Ag -9.697 2.399 4.827
Ag -7.545 -2.709 5.029
Ag -3.178 -0.986 2.075
Ag -5.330 4.122 1.874
Rb 0.000 0.000 0.000
Rb -6.437 0.706 3.451
```

=====

Most stable: P. Least stable: R.

=====

## P
A plane-wave DFT calculation with GGA-PBE was carried out for crystalline CsRbAg2 at its relaxed geometry. Values from VASP.

The structure in Quantum ESPRESSO input format:
```
&SYSTEM
  ibrav = 0, nat = 4, ntyp = 3
/
ATOMIC_SPECIES
Ag 107.87 Ag.upf
Cs 132.91 Cs.upf
Rb 85.47 Rb.upf
CELL_PARAMETERS angstrom
5.186 0.000 0.000
2.593 4.491 0.000
2.593 1.497 9.073
ATOMIC_POSITIONS angstrom
Ag 2.593 1.497 6.891
Ag 2.593 1.497 2.179
Cs 5.186 2.994 4.577
Rb 7.779 4.491 9.036
```

=====

## Q
A plane-wave DFT calculation with GGA-PBE was carried out for crystalline CsRbAg2 at its relaxed geometry. Values from VASP.

The structure in Quantum ESPRESSO input format:
```
&SYSTEM
  ibrav = 0, nat = 4, ntyp = 3
/
ATOMIC_SPECIES
Cs 132.91 Cs.upf
Rb 85.47 Rb.upf
Ag 107.87 Ag.upf
CELL_PARAMETERS angstrom
4.411 0.000 0.000
0.000 4.411 0.000
0.000 0.000 8.783
ATOMIC_POSITIONS angstrom
Cs 2.205 2.205 4.391
Rb 2.205 2.205 0.000
Ag 0.000 0.000 2.023
Ag 0.000 0.000 6.760
```

=====

## R
A plane-wave DFT calculation with GGA-PBE was carried out for crystalline CsRbAg2 at its relaxed geometry. Values from VASP.

The structure in Quantum ESPRESSO input format:
```
&SYSTEM
  ibrav = 0, nat = 4, ntyp = 3
/
ATOMIC_SPECIES
Rb 85.47 Rb.upf
Cs 132.91 Cs.upf
Ag 107.87 Ag.upf
CELL_PARAMETERS angstrom
0.000 4.420 4.420
4.420 0.000 4.420
4.420 4.420 0.000
ATOMIC_POSITIONS angstrom
Rb 0.000 0.000 0.000
Cs 4.420 4.420 4.420
Ag 2.210 2.210 2.210
Ag 6.631 6.631 6.631
```

=====

Most stable: Q. Least stable: P.

=====

## P
A plane-wave DFT calculation with GGA-PBE was carried out for crystalline Cs3RbAg at its relaxed geometry. Values from VASP.

The structure in Quantum ESPRESSO input format:
```
&SYSTEM
  ibrav = 0, nat = 5, ntyp = 3
/
ATOMIC_SPECIES
Rb 85.47 Rb.upf
Cs 132.91 Cs.upf
Ag 107.87 Ag.upf
CELL_PARAMETERS angstrom
7.544 0.000 0.000
0.000 7.544 0.000
0.000 0.000 7.544
ATOMIC_POSITIONS angstrom
Rb 3.772 3.772 3.772
Cs 3.772 0.000 0.000
Cs 0.000 3.772 0.000
Cs 0.000 0.000 3.772
Ag 0.000 0.000 0.000
```

=====

## Q
A plane-wave DFT calculation with GGA-PBE was carried out for crystalline Cs3RbAg at its relaxed geometry. Values from VASP.

The structure in Quantum ESPRESSO input format:
```
&SYSTEM
  ibrav = 0, nat = 5, ntyp = 3
/
ATOMIC_SPECIES
Ag 107.87 Ag.upf
Cs 132.91 Cs.upf
Rb 85.47 Rb.upf
CELL_PARAMETERS angstrom
-2.703 -7.942 -1.130
8.020 -2.700 -0.208
-0.166 -1.137 8.387
ATOMIC_POSITIONS angstrom
Ag 2.576 -5.889 3.525
Cs -1.352 -3.971 -0.565
Cs 4.010 -1.350 -0.104
Cs -0.083 -0.568 4.193
Rb 0.000 0.000 0.000
```

=====

Most stable: P. Least stable: Q.